# PBE Tl3GaS, relaxed
data_Tl3GaS
_symmetry_space_group_name_H-M 'P m -3 m'
_symmetry_Int_Tables_number 221
_symmetry_space_group_name_Hall '-P 4 2 3'
_cell_length_a 5.6862
_cell_length_b 5.6862
_cell_length_c 5.6862
_cell_angle_alpha 90.00
_cell_angle_beta 90.00
_cell_angle_gamma 90.00
loop_
_atom_site_label
_atom_site_fract_x
_atom_site_fract_y
_atom_site_fract_z
Tl1 0.0000 0.0000 0.5000
Ga1 0.5000 0.5000 0.5000
S1 0.0000 0.0000 0.0000
# Relative energy among the computed polymorphs = 0.42 eV/f.u.
# Spin magnetization = 0.00 μB per atom
# Energy relative to the elements, uncorrected = 0.310 eV/atom
# VASP energy = -2.541 eV per atom